# PBE MnFeCu2, relaxed
data_MnFeCu2
_cell_length_a 2.722
_cell_length_b 4.312
_cell_length_c 8.530
_cell_angle_alpha 90.00
_cell_angle_beta 90.00
_cell_angle_gamma 90.00
_space_group_name_H-M_alt 'I m m 2'
_space_group_IT_number 44
loop_
_space_group_symop_operation_xyz
'x,y,z'
'-x,-y,z'
'-x,y,z'
'x,-y,z'
'x+1/2,y+1/2,z+1/2'
'-x+1/2,-y+1/2,z+1/2'
'-x+1/2,y+1/2,z+1/2'
'x+1/2,-y+1/2,z+1/2'
loop_
_atom_site_label
_atom_site_type_symbol
_atom_site_fract_x
_atom_site_fract_y
_atom_site_fract_z
Mn1 Mn 0.000 0.000 0.000
Fe1 Fe 0.000 0.500 0.752
Cu1 Cu 0.000 0.000 0.502
Cu2 Cu 0.000 0.500 0.244
# Crystal system = orthorhombic
# Formation energy from the elements = 0.22 eV per atom

# PBE HfAgPS2, relaxed
data_HfAgPS2
_cell_length_a 4.677
_cell_length_b 4.677
_cell_length_c 4.758
_cell_angle_alpha 90.00
_cell_angle_beta 90.00
_cell_angle_gamma 90.00
_space_group_name_H-M_alt 'P 4/m m m'
_space_group_IT_number 123
_space_group_name_Hall '-P 4 2'
loop_
_atom_site_label
_atom_site_type_symbol
_atom_site_fract_x
_atom_site_fract_y
_atom_site_fract_z
Hf1 Hf 0.000 0.000 0.000
Ag1 Ag 0.500 0.500 0.500
P1 P 0.500 0.500 0.000
S1 S 0.000 0.500 0.500
# E_form (uncorrected) = 0.6522 eV per atom
# E above lowest polymorph = 3.70 eV per formula unit
# Crystal system = tetragonal

Number 1: energy -49.861 eV per cell, magnetization 1.539 μB/atom. Number 2: energy -23.209 eV per cell, magnetization 0.000 μB/atom.